[1]
A plane-wave DFT calculation with PBE was carried out for an optimized crystal structure of CrTcBr2.

Lattice parameters (Å, degrees): 6.319 6.319 6.319 90.00 90.00 90.00
Sites, in units of the cell vectors:
Cr1 0.000 0.000 0.000
Cr2 0.000 0.500 0.500
Cr3 0.500 0.000 0.500
Cr4 0.500 0.500 0.000
Tc1 0.000 0.000 0.500
Tc2 0.000 0.500 0.000
Tc3 0.500 0.000 0.000
Tc4 0.500 0.500 0.500
Br1 0.250 0.250 0.250
Br2 0.250 0.250 0.750
Br3 0.250 0.750 0.250
Br4 0.250 0.750 0.750
Br5 0.750 0.250 0.250
Br6 0.750 0.250 0.750
Br7 0.750 0.750 0.250
Br8 0.750 0.750 0.750

polymorph energy (0 for the lowest one): 1015 meV/atom
energy relative to the elements, uncorrected: 1077 meV per atom
space group: Fm-3m (225)
size of the total moment: 0.000 μB/f.u.


[2]
A plane-wave DFT calculation with PBE was carried out for an optimized crystal structure of MgPb2Se.

Lattice parameters (Å, degrees): 4.422 4.422 11.262 90.00 90.00 90.00
Sites, in units of the cell vectors:
Mg1 0.000 0.000 0.000
Mg2 0.500 0.500 0.500
Pb1 0.000 0.000 0.500
Pb2 0.000 0.500 0.750
Pb3 0.500 0.000 0.250
Pb4 0.500 0.500 0.000
Se1 0.000 0.500 0.250
Se2 0.500 0.000 0.750

energy relative to the elements, uncorrected: -96 meV per atom
space group: I-4m2 (119)
size of the total moment: 0.000 μB/f.u.


[3]
A plane-wave DFT calculation with PBE was carried out for an optimized crystal structure of Nd4SmYS8.

Lattice parameters (Å, degrees): 8.281 8.281 8.281 60.09 60.09 60.09
Sites, in units of the cell vectors:
Nd1 0.000 0.000 0.000
Nd2 0.377 0.377 0.872
Nd3 0.377 0.872 0.377
Nd4 0.872 0.377 0.377
Sm1 0.377 0.377 0.377
Y1 0.751 0.751 0.751
S1 0.133 0.133 0.133
S2 0.136 0.136 0.599
S3 0.136 0.599 0.136
S4 0.139 0.619 0.619
S5 0.599 0.136 0.136
S6 0.619 0.139 0.619
S7 0.619 0.619 0.139
S8 0.622 0.622 0.622

energy relative to the elements, uncorrected: -1911 meV per atom
space group: R3m (160)
size of the total moment: 0.001 μB/f.u.


[4]
A plane-wave DFT calculation with PBE was carried out for an optimized crystal structure of ScHgRh3.

Lattice parameters (Å, degrees): 4.884 4.884 4.884 90.00 90.00 90.00
Sites, in units of the cell vectors:
Sc1 0.000 0.000 0.000
Hg1 0.500 0.500 0.500
Rh1 0.000 0.500 0.500
Rh2 0.500 0.000 0.500
Rh3 0.500 0.500 0.000

polymorph energy (0 for the lowest one): 435 meV/atom
energy of formation: 1.13 eV per atom
space group: Pm-3m (221)
size of the total moment: 0.729 μB/f.u.


[5]
A plane-wave DFT calculation with PBE was carried out for an optimized crystal structure of PmAuO3.

Lattice parameters (Å, degrees): 3.969 13.056 5.678 90.00 90.00 90.00
Sites, in units of the cell vectors:
Pm1 0.238 0.078 0.250
Pm2 0.238 0.422 0.750
Pm3 0.762 0.578 0.250
Pm4 0.762 0.922 0.750
Au1 0.433 0.670 0.750
Au2 0.433 0.830 0.250
Au3 0.567 0.170 0.750
Au4 0.567 0.330 0.250
O1 0.243 0.576 0.502
O2 0.243 0.576 0.998
O3 0.243 0.924 0.002
O4 0.243 0.924 0.498
O5 0.313 0.250 0.000
O6 0.313 0.250 0.500
O7 0.687 0.750 0.000
O8 0.687 0.750 0.500
O9 0.757 0.076 0.502
O10 0.757 0.076 0.998
O11 0.757 0.424 0.002
O12 0.757 0.424 0.498

energy relative to the elements, uncorrected: -1834 meV per atom
space group: Pbcm (57)
size of the total moment: 0.000 μB/f.u.


[6]
A plane-wave DFT calculation with PBE was carried out for an optimized crystal structure of BeIn.

Lattice parameters (Å, degrees): 3.349 3.349 7.712 90.00 90.00 120.00
Sites, in units of the cell vectors:
Be1 0.333 0.667 0.068
Be2 0.667 0.333 0.932
In1 0.333 0.667 0.688
In2 0.667 0.333 0.312

polymorph energy (0 for the lowest one): 279 meV/atom
energy of formation: 0.56 eV per atom
space group: P-3m1 (164)
size of the total moment: 0.000 μB/f.u.


[7]
A plane-wave DFT calculation with PBE was carried out for an optimized crystal structure of Tl2RuCl4F2.

Lattice parameters (Å, degrees): 6.664 6.664 5.870 100.77 100.77 64.17
Sites, in units of the cell vectors:
Tl1 0.174 0.174 0.279
Tl2 0.826 0.826 0.721
Ru1 0.500 0.500 0.000
Cl1 0.170 0.647 0.184
Cl2 0.353 0.830 0.816
Cl3 0.647 0.170 0.184
Cl4 0.830 0.353 0.816
F1 0.361 0.361 0.743
F2 0.639 0.639 0.257

energy relative to the elements, uncorrected: -1126 meV per atom
space group: C2/m (12)
size of the total moment: 2.000 μB/f.u.


[8]
A plane-wave DFT calculation with PBE was carried out for an optimized crystal structure of CsZn2Re.

Lattice parameters (Å, degrees): 7.231 7.231 7.231 90.00 90.00 90.00
Sites, in units of the cell vectors:
Cs1 0.000 0.000 0.000
Cs2 0.000 0.500 0.500
Cs3 0.500 0.000 0.500
Cs4 0.500 0.500 0.000
Zn1 0.250 0.250 0.250
Zn2 0.250 0.250 0.750
Zn3 0.250 0.750 0.250
Zn4 0.250 0.750 0.750
Zn5 0.750 0.250 0.250
Zn6 0.750 0.250 0.750
Zn7 0.750 0.750 0.250
Zn8 0.750 0.750 0.750
Re1 0.000 0.000 0.500
Re2 0.000 0.500 0.000
Re3 0.500 0.000 0.000
Re4 0.500 0.500 0.500

energy of formation: 1.47 eV per atom
space group: Fm-3m (225)
size of the total moment: 2.130 μB/f.u.


[9]
A plane-wave DFT calculation with PBE was carried out for an optimized crystal structure of HfSiMo.

Lattice parameters (Å, degrees): 3.353 9.035 6.935 90.00 90.00 90.00
Sites, in units of the cell vectors:
Hf1 0.000 0.053 0.000
Hf2 0.000 0.357 0.611
Hf3 0.000 0.643 0.111
Hf4 0.000 0.947 0.500
Si1 0.500 0.126 0.704
Si2 0.500 0.445 0.310
Si3 0.500 0.555 0.810
Si4 0.500 0.874 0.204
Mo1 0.500 0.170 0.306
Mo2 0.500 0.324 0.994
Mo3 0.500 0.676 0.494
Mo4 0.500 0.830 0.806

polymorph energy (0 for the lowest one): 405 meV/atom
energy relative to the elements, uncorrected: -310 meV per atom
space group: Pmc2_1 (26)
size of the total moment: 0.000 μB/f.u.


[10]
A plane-wave DFT calculation with PBE was carried out for an optimized crystal structure of Y2ZnFe.

Lattice parameters (Å, degrees): 3.673 3.673 24.037 90.00 90.00 120.00
Sites, in units of the cell vectors:
Y1 0.000 0.000 0.241
Y2 0.000 0.000 0.759
Y3 0.333 0.667 0.426
Y4 0.333 0.667 0.907
Y5 0.667 0.333 0.093
Y6 0.667 0.333 0.574
Zn1 0.000 0.000 0.000
Zn2 0.333 0.667 0.667
Zn3 0.667 0.333 0.333
Fe1 0.000 0.000 0.500
Fe2 0.333 0.667 0.167
Fe3 0.667 0.333 0.833

energy of formation: 0.12 eV per atom
space group: R-3m (166)
size of the total moment: 1.061 μB/f.u.


[11]
A plane-wave DFT calculation with PBE was carried out for an optimized crystal structure of In2GeBiRh.

Lattice parameters (Å, degrees): 5.109 5.109 5.570 90.00 90.00 90.00
Sites, in units of the cell vectors:
In1 0.000 0.500 0.000
In2 0.500 0.000 0.000
Ge1 0.000 0.000 0.000
Bi1 0.000 0.000 0.500
Rh1 0.500 0.500 0.500

energy of formation: 0.90 eV per atom
space group: P4/mmm (123)
size of the total moment: 0.000 μB/f.u.


[12]
A plane-wave DFT calculation with PBE was carried out for an optimized crystal structure of LaBi2Pd4.

Lattice parameters (Å, degrees): 19.751 4.894 6.325 90.00 90.00 90.00
Sites, in units of the cell vectors:
La1 0.127 0.250 0.078
La2 0.373 0.750 0.578
La3 0.627 0.250 0.422
La4 0.873 0.750 0.922
Bi1 0.031 0.750 0.670
Bi2 0.240 0.250 0.620
Bi3 0.260 0.750 0.120
Bi4 0.469 0.250 0.170
Bi5 0.531 0.750 0.830
Bi6 0.740 0.250 0.880
Bi7 0.760 0.750 0.380
Bi8 0.969 0.250 0.330
Pd1 0.016 0.750 0.116
Pd2 0.100 0.250 0.582
Pd3 0.139 0.750 0.351
Pd4 0.181 0.750 0.760
Pd5 0.319 0.250 0.260
Pd6 0.361 0.250 0.851
Pd7 0.400 0.750 0.082
Pd8 0.484 0.250 0.616
Pd9 0.516 0.750 0.384
Pd10 0.600 0.250 0.918
Pd11 0.639 0.750 0.149
Pd12 0.681 0.750 0.740
Pd13 0.819 0.250 0.240
Pd14 0.861 0.250 0.649
Pd15 0.900 0.750 0.418
Pd16 0.984 0.250 0.884

energy of formation: -0.54 eV per atom
space group: Pnma (62)
size of the total moment: 0.000 μB/f.u.